Entry 1:
VASP calculation (GGA-PBE) on a relaxed structure of CsKHg17.

Results
Calculated density   10.272 g/cm³
Calculated formation energy   -0.119 eV/atom

Cell lengths 8.426, 8.426, 8.426 Å; angles 81.20, 81.20, 81.20 degrees
Positions (direct):
Cs (0.658, 0.658, 0.658)
K (0.331, 0.331, 0.331)
Hg (0.296, 0.004, 0.697)
Hg (0.697, 0.296, 0.004)
Hg (0.004, 0.697, 0.296)
Hg (0.296, 0.697, 0.004)
Hg (0.004, 0.296, 0.697)
Hg (0.697, 0.004, 0.296)
Hg (0.340, 0.880, 0.340)
Hg (0.340, 0.340, 0.880)
Hg (0.880, 0.340, 0.340)
Hg (0.626, 0.195, 0.626)
Hg (0.626, 0.626, 0.195)
Hg (0.195, 0.626, 0.626)
Hg (0.972, 0.534, 0.972)
Hg (0.972, 0.972, 0.534)
Hg (0.534, 0.972, 0.972)
Hg (0.921, 0.921, 0.921)
Hg (0.110, 0.110, 0.110)


Entry 2:
VASP calculation (GGA-PBE) on a relaxed structure of MnTePbN2.

Results
Polymorph energy (0 for the lowest one)   0.699 eV per atom
Calculated density   5.802 g/cm³
Formation energy without anion corrections   8.286 eV per formula unit

Cell lengths 4.373, 4.373, 6.253 Å; angles 90.00, 90.00, 90.00 degrees
Positions (direct):
Pb (0.000, 0.000, 0.000)
Te (0.000, 0.000, 0.500)
Mn (0.500, 0.500, 0.500)
N (0.000, 0.500, 0.000)
N (0.500, 0.000, 0.000)


Entry 3:
VASP calculation (GGA-PBE) on a relaxed structure of YSbSe.

Results
Calculated density   6.027 g/cm³
Formation energy without anion corrections   -2.393 eV per formula unit

Cell lengths 4.854, 4.854, 3.911 Å; angles 90.00, 90.00, 120.00 degrees
Positions (direct):
Sb (0.000, 0.000, 0.000)
Se (0.333, 0.667, 0.500)
Y (0.667, 0.333, 0.500)


Entry 4:
VASP calculation (GGA-PBE) on a relaxed structure of PrI4N2.

Results
Calculated density   4.466 g/cm³
Formation energy without anion corrections   0.967 eV per formula unit

Cell lengths 3.944, 10.240, 8.460 Å; angles 64.86, 76.56, 112.60 degrees
Positions (direct):
Pr (0.000, 0.000, 0.000)
I (0.994, 0.743, 0.497)
I (0.006, 0.257, 0.503)
I (0.251, 0.745, 0.990)
I (0.749, 0.255, 0.010)
N (0.376, 0.191, 0.632)
N (0.624, 0.809, 0.368)